(1)
A relaxed La3DyIn12 crystal. Source: the Alexandria database, functional PBE.

The space group is P4/mmm (No. 123) and the conventional cell measures 4.7493, 4.7493 and 19.0260 Å, with angles of 90.00, 90.00 and 90.00 degrees. The inequivalent atoms are La at (0.0000, 0.0000, 0.0000), La at (0.0000, 0.0000, 0.2547), Dy at (0.0000, 0.0000, 0.5000), In at (0.0000, 0.5000, 0.1270), In at (0.0000, 0.5000, 0.3804), In at (0.5000, 0.5000, 0.0000), In at (0.5000, 0.5000, 0.2512) and In at (0.5000, 0.5000, 0.5000).

The energy is -3.73 eV/atom. The volume comes out at 26.82 Å³/atom. As for the formation energy: -465 meV per atom.

***

(2)
A relaxed Pm5Ho2Er5 crystal. Source: the Alexandria database, functional PBE.

The space group is C2/m (No. 12) and the conventional cell measures 15.1302, 5.0385 and 11.3091 Å, with angles of 90.00, 116.55 and 90.00 degrees. The inequivalent atoms are Pm at (0.0000, 0.0000, 0.0000), Pm at (0.0842, 0.0000, 0.7508), Pm at (0.1658, 0.0000, 0.4994), Ho at (0.0833, 0.5000, 0.2487), Er at (0.0000, 0.5000, 0.5000), Er at (0.1679, 0.5000, 0.0011) and Er at (0.2489, 0.0000, 0.2478).

The energy is -4.62 eV/atom. The volume comes out at 32.13 Å³/atom. As for the formation energy: 19 meV per atom.

***

(3)
A relaxed SrTbP2Pd5 crystal. Source: the Alexandria database, functional PBE.

The space group is P4/mmm (No. 123) and the conventional cell measures 4.4718, 4.4718 and 9.6448 Å, with angles of 90.00, 90.00 and 90.00 degrees. The inequivalent atoms are Sr at (0.0000, 0.0000, 0.0000), Tb at (0.0000, 0.0000, 0.5000), P at (0.5000, 0.5000, 0.2377), Pd at (0.0000, 0.5000, 0.3044) and Pd at (0.5000, 0.5000, 0.0000).

The energy is -5.50 eV/atom. The volume comes out at 21.43 Å³/atom. As for the formation energy: -709 meV per atom.

***

(4)
A relaxed MnInGe crystal. Source: the Alexandria database, functional PBE.

The space group is C2/m (No. 12) and the conventional cell measures 11.9150, 3.0912 and 6.5998 Å, with angles of 90.00, 114.99 and 90.00 degrees. The inequivalent atoms are Mn at (0.0912, 0.0000, 0.0826), In at (0.1223, 0.5000, 0.4386) and Ge at (0.1521, 0.5000, 0.8674).

The energy is -5.26 eV/atom. The volume comes out at 18.36 Å³/atom. As for the formation energy: 247 meV per atom.

***

(5)
A relaxed ReTcHg2 crystal. Source: the Alexandria database, functional PBE.

The space group is P4/mmm (No. 123) and the conventional cell measures 4.6224, 4.6224 and 3.2370 Å, with angles of 90.00, 90.00 and 90.00 degrees. The inequivalent atoms are Re at (0.0000, 0.0000, 0.0000), Tc at (0.5000, 0.5000, 0.0000) and Hg at (0.0000, 0.5000, 0.5000).

The energy is -4.79 eV/atom. The polymorph energy (0 for the lowest one) comes out at 751.2 meV per atom. The volume comes out at 17.29 Å³/atom. As for the formation energy: 1069 meV per atom.

***

(6)
A relaxed ScTiPd14 crystal. Source: the Alexandria database, functional PBE.

The space group is P4/mmm (No. 123) and the conventional cell measures 5.6202, 5.6202 and 7.8712 Å, with angles of 90.00, 90.00 and 90.00 degrees. The inequivalent atoms are Sc at (0.0000, 0.0000, 0.0000), Ti at (0.5000, 0.5000, 0.0000), Pd at (0.0000, 0.0000, 0.5000), Pd at (0.0000, 0.5000, 0.0000), Pd at (0.0000, 0.5000, 0.5000), Pd at (0.2530, 0.2530, 0.2458) and Pd at (0.5000, 0.5000, 0.5000).

The energy is -5.81 eV/atom. The volume comes out at 15.54 Å³/atom. As for the formation energy: -376 meV per atom.

***

(7)
A relaxed Ca2SmCd2In2 crystal. Source: the Alexandria database, functional PBE.

The space group is R-3m (No. 166, hexagonal axes) and the conventional cell measures 4.9855, 4.9855 and 28.2091 Å, with angles of 90.00, 90.00 and 120.00 degrees. The inequivalent atoms are Ca at (0.0000, 0.0000, 0.1276), Sm at (0.0000, 0.0000, 0.0000), Cd at (0.0000, 0.0000, 0.3917) and In at (0.0000, 0.0000, 0.2599).

The energy is -2.63 eV/atom. The volume comes out at 28.91 Å³/atom. As for the formation energy: -343 meV per atom.

***

(8)
A relaxed Li3B8C8 crystal. Source: the Alexandria database, functional PBE.

The space group is P2/m (No. 10) and the conventional cell measures 4.6575, 2.7049 and 15.5906 Å, with angles of 90.00, 91.76 and 90.00 degrees. The inequivalent atoms are Li at (0.0000, 0.0000, 0.0000), Li at (0.0000, 0.0000, 0.5000), Li at (0.5000, 0.5000, 0.0000), B at (0.1537, 0.5000, 0.6264), B at (0.1792, 0.5000, 0.1146), B at (0.3208, 0.0000, 0.8854), B at (0.3491, 0.0000, 0.3904), C at (0.1561, 0.5000, 0.8891), C at (0.1828, 0.5000, 0.3917), C at (0.3182, 0.0000, 0.6249) and C at (0.3439, 0.0000, 0.1109).

The energy is -6.88 eV/atom. The polymorph energy (0 for the lowest one) comes out at 110.5 meV per atom. The volume comes out at 10.33 Å³/atom. As for the formation energy: 117 meV per atom.

***

(9)
A relaxed Np3UP4 crystal. Source: the Alexandria database, functional PBE.

The space group is Pm-3m (No. 221) and the conventional cell measures 5.5907, 5.5907 and 5.5907 Å, with angles of 90.00, 90.00 and 90.00 degrees. The inequivalent atoms are Np at (0.0000, 0.0000, 0.5000), U at (0.5000, 0.5000, 0.5000), P at (0.0000, 0.0000, 0.0000) and P at (0.0000, 0.5000, 0.5000).

The energy is -9.86 eV/atom. The volume comes out at 21.84 Å³/atom. As for the formation energy: -889 meV per atom.

***

(10)
A relaxed Pr4TeAsP2 crystal. Source: the Alexandria database, functional PBE.

The space group is P2/m (No. 10) and the conventional cell measures 7.4556, 4.2907 and 7.5027 Å, with angles of 90.00, 109.15 and 90.00 degrees. The inequivalent atoms are Pr at (0.2327, 0.0000, 0.2277), Pr at (0.2455, 0.5000, 0.7639), Te at (0.5000, 0.5000, 0.5000), As at (0.0000, 0.0000, 0.5000), P at (0.0000, 0.5000, 0.0000) and P at (0.5000, 0.0000, 0.0000).

The energy is -6.25 eV/atom. The volume comes out at 28.34 Å³/atom. Its formation energy without anion corrections is -1.536 eV/atom.

***

(11)
A relaxed MgZn2Ag6 crystal. Source: the Alexandria database, functional PBE.

The space group is C2/c (No. 15) and the conventional cell measures 10.6840, 9.7357 and 7.2128 Å, with angles of 90.00, 122.86 and 90.00 degrees. The inequivalent atoms are Mg at (0.0000, 0.0893, 0.2500), Zn at (0.1542, 0.3572, 0.4178), Ag at (0.0787, 0.3849, 0.9963), Ag at (0.1114, 0.1638, 0.6888) and Ag at (0.2154, 0.0928, 0.1387).

The energy is -2.39 eV/atom. The polymorph energy (0 for the lowest one) comes out at 18.9 meV per atom. The volume comes out at 17.51 Å³/atom. As for the formation energy: -33 meV per atom.

***

(12)
A relaxed K3CeBr6 crystal. Source: the Alexandria database, functional PBE.

The space group is P2_1/c (No. 14) and the conventional cell measures 7.9550, 8.5338 and 13.8428 Å, with angles of 90.00, 123.59 and 90.00 degrees. The inequivalent atoms are K at (0.0000, 0.0000, 0.0000), K at (0.2101, 0.0796, 0.7415), Ce at (0.5000, 0.0000, 0.5000), Br at (0.1429, 0.1796, 0.4396), Br at (0.2509, 0.7151, 0.4198) and Br at (0.4045, 0.0619, 0.2663).

The energy is -3.72 eV/atom. The polymorph energy (0 for the lowest one) comes out at 0.0 meV per atom. The volume comes out at 39.14 Å³/atom. Its formation energy without anion corrections is -1.797 eV/atom.